Tb6DyPd2 | the Alexandria database | PBE-GGA | optimized geometry; SG = C2/m (12); DFT formation energy = -0.3721 eV/atom; raw total energy = -5.1242 eV/atom; crystal system = monoclinic
1.0
-2.0922 2.2808 2.0249
-7.7000 -2.0863 -2.2280
-2.2883 -5.0368 6.6867
Pd Tb Dy
2 6 1
Direct
0.4070 0.4213 0.7648
0.5930 0.5787 0.2352
0.2856 0.3184 0.1105
0.9680 0.8749 0.1892
0.7144 0.6816 0.8895
0.0320 0.1251 0.8108
0.6937 0.1675 0.4452
0.3063 0.8325 0.5548
0.0000 0.5000 0.5000